This record from Alexandria describes an optimized crystal structure of Ac2Pr3Nd8. The functional is PBE-GGA.

Summary:
raw total energy: -4.417 eV/atom
ρ: 6.72 Mg/m³
energy of formation: 5.8 kcal/mol of atoms
distance to the lowest polymorph of the same formula: 90.3 meV per atom
space group: R-3m, No. 166

Cell: 6.781 6.781 13.193 Å, 75.11 75.11 60.00°
Positions (direct):
Nd: 0.222 0.721 0.335
Nd: 0.727 0.727 0.819
Nd: 0.279 0.778 0.665
Nd: 0.273 0.273 0.181
Nd: 0.279 0.279 0.665
Nd: 0.721 0.721 0.335
Nd: 0.721 0.222 0.335
Nd: 0.778 0.279 0.665
Ac: 0.360 0.360 0.919
Ac: 0.640 0.640 0.081
Pr: 0.000 0.000 0.000
Pr: 0.188 0.188 0.437
Pr: 0.812 0.812 0.563

This record from Alexandria describes an optimized crystal structure of Ac2PrNd2. The functional is PBE-GGA.

Summary:
raw total energy: -4.431 eV/atom
ρ: 7.44 Mg/m³
energy of formation: 1.7 kcal/mol of atoms
distance to the lowest polymorph of the same formula: 38.8 meV per atom
space group: C2/c, No. 15

Cell: 6.872 10.077 9.726 Å, 39.03 69.31 70.06°
Positions (direct):
Pr: 0.583 0.750 0.250
Pr: 0.417 0.250 0.750
Ac: 0.838 0.802 0.812
Ac: 0.162 0.198 0.188
Ac: 0.452 0.698 0.688
Ac: 0.548 0.302 0.312
Nd: 0.029 0.662 0.518
Nd: 0.209 0.838 0.982
Nd: 0.971 0.338 0.482
Nd: 0.791 0.162 0.018

This record from Alexandria describes an optimized crystal structure of Ac2Pr9Nd. The functional is PBE-GGA.

Summary:
raw total energy: -4.560 eV/atom
ρ: 6.91 Mg/m³
energy of formation: 2.5 kcal/mol of atoms
space group: P4/mmm, No. 123

Cell: 6.241 6.241 11.520 Å, 90.00 90.00 90.00°
Positions (direct):
Ac: 0.000 0.000 0.671
Ac: 0.000 0.000 0.329
Pr: 0.500 0.500 0.000
Pr: 0.000 0.500 0.500
Pr: 0.000 0.500 0.160
Pr: 0.500 0.500 0.664
Pr: 0.000 0.500 0.840
Pr: 0.500 0.000 0.840
Pr: 0.500 0.000 0.160
Pr: 0.500 0.000 0.500
Pr: 0.500 0.500 0.336
Nd: 0.000 0.000 0.000

This record from Alexandria describes an optimized crystal structure of Ac7Pr3Nd2. The functional is PBE-GGA.

Summary:
raw total energy: -4.296 eV/atom
ρ: 7.70 Mg/m³
energy of formation: 2.1 kcal/mol of atoms
space group: P2/m, No. 10

Cell: 3.805 7.011 19.256 Å, 74.92 90.00 90.00°
Positions (direct):
Ac: 0.500 0.241 0.505
Ac: 0.000 0.555 0.169
Ac: 0.500 0.947 0.825
Ac: 0.000 0.445 0.831
Ac: 0.500 0.053 0.175
Ac: 0.000 0.000 0.000
Ac: 0.500 0.759 0.495
Pr: 0.500 0.500 0.000
Pr: 0.000 0.882 0.659
Pr: 0.000 0.118 0.341
Nd: 0.500 0.389 0.669
Nd: 0.500 0.611 0.331

This record from Alexandria describes an optimized crystal structure of Ac4PrNd5. The functional is PBE-GGA.

Summary:
raw total energy: -4.326 eV/atom
ρ: 7.23 Mg/m³
energy of formation: 4.1 kcal/mol of atoms
distance to the lowest polymorph of the same formula: 148.8 meV per atom
space group: C2/m, No. 12

Cell: 3.777 12.152 15.157 Å, 143.30 97.16 90.00°
Positions (direct):
Nd: 0.172 0.382 0.343
Nd: 0.828 0.618 0.657
Nd: 0.829 0.196 0.657
Nd: 0.171 0.804 0.343
Nd: 0.500 0.500 0.000
Ac: 0.033 0.316 0.066
Ac: 0.334 0.917 0.667
Ac: 0.666 0.083 0.333
Ac: 0.967 0.684 0.934
Pr: 0.500 0.000 0.000

This record from Alexandria describes an optimized crystal structure of AcPr5Nd3. The functional is PBE-GGA.

Summary:
raw total energy: -4.227 eV/atom
ρ: 5.96 Mg/m³
energy of formation: 10.9 kcal/mol of atoms
distance to the lowest polymorph of the same formula: 172.2 meV per atom
space group: C2/m, No. 12

Cell: 8.713 8.713 14.192 Å, 58.67 58.67 85.26°
Positions (direct):
Ac: 0.998 0.998 0.749
Ac: 0.002 0.002 0.251
Pr: 0.257 0.743 0.000
Pr: 0.657 0.657 0.087
Pr: 0.043 0.549 0.599
Pr: 0.343 0.343 0.913
Pr: 0.957 0.451 0.401
Pr: 0.549 0.043 0.599
Pr: 0.656 0.656 0.580
Pr: 0.743 0.257 0.000
Pr: 0.344 0.344 0.420
Pr: 0.451 0.957 0.401
Nd: 0.335 0.335 0.170
Nd: 0.000 0.000 0.000
Nd: 0.000 0.000 0.500
Nd: 0.665 0.665 0.830
Nd: 0.336 0.336 0.679
Nd: 0.664 0.664 0.321

This record from Alexandria describes an optimized crystal structure of Ac4PrNd15. The functional is PBE-GGA.

Summary:
raw total energy: -4.526 eV/atom
ρ: 7.20 Mg/m³
energy of formation: 2.6 kcal/mol of atoms
space group: P4/mmm, No. 123

Cell: 6.216 6.216 19.174 Å, 90.00 90.00 90.00°
Positions (direct):
Nd: 0.500 0.000 0.701
Nd: 0.500 0.000 0.299
Nd: 0.500 0.500 0.000
Nd: 0.000 0.500 0.299
Nd: 0.500 0.000 0.904
Nd: 0.500 0.500 0.599
Nd: 0.500 0.000 0.096
Nd: 0.000 0.500 0.096
Nd: 0.000 0.500 0.701
Nd: 0.500 0.500 0.401
Nd: 0.500 0.500 0.202
Nd: 0.500 0.000 0.500
Nd: 0.000 0.500 0.500
Nd: 0.000 0.500 0.904
Nd: 0.500 0.500 0.798
Ac: 0.000 0.000 0.805
Ac: 0.000 0.000 0.195
Ac: 0.000 0.000 0.602
Ac: 0.000 0.000 0.398
Pr: 0.000 0.000 0.000

This record from Alexandria describes an optimized crystal structure of Ac4PrNd5. The functional is PBE-GGA.

Summary:
raw total energy: -4.475 eV/atom
ρ: 7.52 Mg/m³
energy of formation: 0.7 kcal/mol of atoms
distance to the lowest polymorph of the same formula: 0.0 meV per atom
space group: P4/mmm, No. 123

Cell: 3.862 3.862 26.208 Å, 90.00 90.00 90.00°
Positions (direct):
Ac: 0.000 0.000 0.601
Ac: 0.000 0.000 0.399
Ac: 0.000 0.000 0.804
Ac: 0.000 0.000 0.196
Nd: 0.500 0.500 0.298
Nd: 0.500 0.500 0.095
Nd: 0.500 0.500 0.500
Nd: 0.500 0.500 0.905
Nd: 0.500 0.500 0.702
Pr: 0.000 0.000 0.000